# 1
InRe3F, relaxed, DFT GGA-PBE; formation energy without anion corrections = 1.413 eV per atom; DOS(E_F) = 1.3767 states/eV per atom; VASP energy = -6.978 eV/atom; calculated volume = 80 Å³ per cell; distance to the lowest polymorph of the same formula = 0 meV per atom
1.0
4.303 0.000 0.000
0.000 4.303 0.000
0.000 0.000 4.303
In Re F
1 3 1
direct
0.000 0.000 0.000 In
0.000 0.500 0.500 Re
0.500 0.000 0.500 Re
0.500 0.500 0.000 Re
0.500 0.500 0.500 F

---

# 2
U2TaNbN4, relaxed, DFT GGA-PBE; formation energy without anion corrections = -1.229 eV per atom; DOS(E_F) = 1.1472 states/eV per atom; VASP energy = -10.954 eV/atom; calculated volume = 99 Å³ per cell
1.0
5.644 0.000 0.000
0.000 3.272 0.000
-1.896 0.000 5.387
U Ta Nb N
2 1 1 4
direct
0.000 0.000 0.000 U
0.500 0.500 0.000 U
0.000 0.500 0.500 Ta
0.500 0.000 0.500 Nb
0.236 0.000 0.723 N
0.252 0.500 0.273 N
0.748 0.500 0.727 N
0.764 0.000 0.277 N

---

# 3
PuAg5S4, relaxed, DFT GGA-PBE; formation energy without anion corrections = -0.333 eV per atom; DOS(E_F) = 1.2417 states/eV per atom; VASP energy = -4.842 eV/atom; calculated volume = 456 Å³ per cell
1.0
8.708 0.000 0.000
0.000 8.818 0.000
0.000 0.000 5.937
Pu Ag S
2 10 8
direct
0.250 0.250 0.238 Pu
0.750 0.750 0.762 Pu
0.070 0.071 0.778 Ag
0.070 0.429 0.778 Ag
0.250 0.750 0.755 Ag
0.430 0.071 0.778 Ag
0.430 0.429 0.778 Ag
0.570 0.571 0.222 Ag
0.570 0.929 0.222 Ag
0.750 0.250 0.245 Ag
0.930 0.571 0.222 Ag
0.930 0.929 0.222 Ag
0.006 0.750 0.521 S
0.250 0.532 0.066 S
0.250 0.968 0.066 S
0.494 0.750 0.521 S
0.506 0.250 0.479 S
0.750 0.032 0.934 S
0.750 0.468 0.934 S
0.994 0.250 0.479 S

---

> The lowest calculated volume belongs to which entry?

InRe3F

---

> The lowest calculated volume belongs to which entry?

InRe3F

---

> What is the formula in the third record?

PuAg5S4

---

Copy entry 1 word for word.
InRe3F, relaxed, DFT GGA-PBE; formation energy without anion corrections = 1.413 eV per atom; DOS(E_F) = 1.3767 states/eV per atom; VASP energy = -6.978 eV/atom; calculated volume = 80 Å³ per cell; distance to the lowest polymorph of the same formula = 0 meV per atom
1.0
4.303 0.000 0.000
0.000 4.303 0.000
0.000 0.000 4.303
In Re F
1 3 1
direct
0.000 0.000 0.000 In
0.000 0.500 0.500 Re
0.500 0.000 0.500 Re
0.500 0.500 0.000 Re
0.500 0.500 0.500 F